VASP calculation (PBE) on crystalline Fe2RhSe at its relaxed geometry.

Cell lengths 4.372, 4.372, 2.872 Å; angles 90.00, 90.00, 90.00 degrees
Fractional positions:
1 Fe 0.000 0.500 0.000
2 Fe 0.500 0.000 0.000
3 Rh 0.000 0.000 0.500
4 Se 0.500 0.500 0.500

Results
The total magnetic moment comes out at 5.306 μB/f.u. As for the density of states at the Fermi level: 5.10 states/eV per cell. The space group is P4/mmm (123). The uncorrected formation energy is 0.24 eV per atom. As for the total energy: -26.8 eV/f.u.